[1]
The following is a DFT calculation (GGA-PBEsol) of a relaxed Mg2CuWO6 crystal.

Lattice parameters (Å, degrees): 5.006 5.189 5.361 63.18 89.46 61.63
Fractional coordinates of all 10 atoms:
1 Mg 0.000 0.000 0.000
2 Mg 0.482 0.006 0.495
3 Cu 0.264 0.442 0.861
4 W 0.777 0.420 0.384
5 O 0.058 0.257 0.172
6 O 0.170 0.241 0.673
7 O 0.414 0.524 0.163
8 O 0.556 0.535 0.658
9 O 0.721 0.851 0.212
10 O 0.866 0.968 0.654

Output
Density of states at the Fermi level, states/eV per cell: 0.7
Mass density, g/cm3: 6.17
Uncorrected energy, eV per cell: -73.4
Energy above the most stable polymorph in this dataset, eV per atom: 0.000

=====

[2]
The following is a DFT calculation (GGA-PBEsol) of a relaxed TlSbIr2 crystal.

Lattice parameters (Å, degrees): 4.529 3.186 5.487 90.00 114.08 90.00
Fractional coordinates of all 4 atoms:
1 Tl 0.000 0.000 0.000
2 Sb 0.500 0.500 0.500
3 Ir 0.000 0.000 0.500
4 Ir 0.500 0.500 0.000

Output
Density of states at the Fermi level, states/eV per cell: 2.9
Mass density, g/cm3: 16.32
Uncorrected energy, eV per cell: -25.1
Energy above the most stable polymorph in this dataset, eV per atom: 0.083

=====

[3]
The following is a DFT calculation (GGA-PBEsol) of a relaxed ReMoN2O crystal.

Lattice parameters (Å, degrees): 3.911 3.911 3.768 90.00 90.00 90.00
Fractional coordinates of all 5 atoms:
1 Re 0.000 0.000 0.000
2 Mo 0.500 0.500 0.500
3 N 0.000 0.500 0.000
4 N 0.500 0.000 0.000
5 O 0.000 0.000 0.500

Output
Density of states at the Fermi level, states/eV per cell: 3.7
Mass density, g/cm3: 9.40
Uncorrected energy, eV per cell: -45.2

=====

[4]
The following is a DFT calculation (GGA-PBEsol) of a relaxed Sr3SnGe crystal.

Lattice parameters (Å, degrees): 6.152 6.152 6.152 90.00 90.00 90.00
Fractional coordinates of all 5 atoms:
1 Sr 0.000 0.000 0.500
2 Sr 0.000 0.500 0.000
3 Sr 0.500 0.000 0.000
4 Sn 0.000 0.000 0.000
5 Ge 0.500 0.500 0.500

Output
E_form, eV/atom: 0.08
Density of states at the Fermi level, states/eV per cell: 6.3
Mass density, g/cm3: 3.24
Uncorrected energy, eV per cell: -14.3

=====

[5]
The following is a DFT calculation (GGA-PBEsol) of a relaxed CdCu2Ru crystal.

Lattice parameters (Å, degrees): 8.906 8.906 8.906 17.46 17.46 17.46
Fractional coordinates of all 4 atoms:
1 Cd 0.000 0.000 0.000
2 Cu 0.245 0.245 0.245
3 Cu 0.755 0.755 0.755
4 Ru 0.500 0.500 0.500

Output
E_form, eV/atom: 0.27
Density of states at the Fermi level, states/eV per cell: 2.7
Mass density, g/cm3: 10.19
Uncorrected energy, eV per cell: -18.9

=====

[6]
The following is a DFT calculation (GGA-PBEsol) of a relaxed SrInFe2 crystal.

Lattice parameters (Å, degrees): 4.606 4.606 3.548 90.00 90.00 90.00
Fractional coordinates of all 4 atoms:
1 Sr 0.000 0.000 0.000
2 In 0.500 0.500 0.000
3 Fe 0.000 0.500 0.500
4 Fe 0.500 0.000 0.500

Output
E_form, eV/atom: 0.72
Density of states at the Fermi level, states/eV per cell: 5.6
Mass density, g/cm3: 6.93
Uncorrected energy, eV per cell: -19.9

=====

[7]
The following is a DFT calculation (GGA-PBEsol) of a relaxed SnMo2PPb crystal.

Lattice parameters (Å, degrees): 5.220 5.220 5.471 90.00 90.00 90.00
Fractional coordinates of all 5 atoms:
1 Sn 0.000 0.000 0.000
2 Mo 0.000 0.500 0.500
3 Mo 0.500 0.000 0.500
4 P 0.500 0.500 0.000
5 Pb 0.000 0.000 0.500

Output
E_form, eV/atom: 2.46
Density of states at the Fermi level, states/eV per cell: 4.6
Mass density, g/cm3: 6.11
Uncorrected energy, eV per cell: -25.3

=====

[8]
The following is a DFT calculation (GGA-PBEsol) of a relaxed BeSeCl2 crystal.

Lattice parameters (Å, degrees): 3.165 2.894 10.032 90.00 96.42 90.00
Fractional coordinates of all 4 atoms:
1 Be 0.000 0.000 0.000
2 Se 0.500 0.000 0.500
3 Cl 0.125 0.500 0.863
4 Cl 0.875 0.500 0.137

Output
Density of states at the Fermi level, states/eV per cell: 1.3
Mass density, g/cm3: 2.89
Uncorrected energy, eV per cell: -13.8
Energy above the most stable polymorph in this dataset, eV per atom: 0.000

=====

[9]
The following is a DFT calculation (GGA-PBEsol) of a relaxed CaNiS2N crystal.

Lattice parameters (Å, degrees): 4.737 4.737 3.465 90.00 90.00 90.00
Fractional coordinates of all 5 atoms:
1 Ca 0.000 0.000 0.000
2 Ni 0.500 0.500 0.500
3 S 0.000 0.500 0.500
4 S 0.500 0.000 0.500
5 N 0.500 0.500 0.000

Output
Density of states at the Fermi level, states/eV per cell: 2.5
Mass density, g/cm3: 3.78
Uncorrected energy, eV per cell: -27.6

=====

[10]
The following is a DFT calculation (GGA-PBEsol) of a relaxed YWN3 crystal.

Lattice parameters (Å, degrees): 5.541 5.541 5.541 59.83 59.83 59.83
Fractional coordinates of all 10 atoms:
1 Y 0.000 0.000 0.000
2 Y 0.500 0.500 0.500
3 W 0.259 0.259 0.259
4 W 0.759 0.759 0.759
5 N 0.034 0.443 0.609
6 N 0.109 0.943 0.534
7 N 0.443 0.609 0.034
8 N 0.534 0.109 0.943
9 N 0.609 0.034 0.443
10 N 0.943 0.534 0.109

Output
Mass density, g/cm3: 8.72
Uncorrected energy, eV per cell: -103.8

=====

[11]
The following is a DFT calculation (GGA-PBEsol) of a relaxed TaBe2Al crystal.

Lattice parameters (Å, degrees): 3.733 3.733 3.527 90.00 90.00 90.00
Fractional coordinates of all 4 atoms:
1 Ta 0.000 0.000 0.000
2 Be 0.000 0.500 0.500
3 Be 0.500 0.000 0.500
4 Al 0.500 0.500 0.000

Output
E_form, eV/atom: -0.17
Density of states at the Fermi level, states/eV per cell: 0.8
Mass density, g/cm3: 7.63
Uncorrected energy, eV per cell: -25.3

=====

[12]
The following is a DFT calculation (GGA-PBEsol) of a relaxed CdCoP3 crystal.

Lattice parameters (Å, degrees): 4.814 4.814 4.814 90.00 90.00 90.00
Fractional coordinates of all 5 atoms:
1 Cd 0.000 0.000 0.000
2 Co 0.500 0.500 0.500
3 P 0.000 0.000 0.500
4 P 0.000 0.500 0.000
5 P 0.500 0.000 0.000

Output
E_form, eV/atom: 1.85
Density of states at the Fermi level, states/eV per cell: 8.6
Mass density, g/cm3: 3.93
Uncorrected energy, eV per cell: -17.1

=====

[13]
The following is a DFT calculation (GGA-PBEsol) of a relaxed RbPtAu2N crystal.

Lattice parameters (Å, degrees): 5.838 5.838 5.117 90.00 90.00 90.00
Fractional coordinates of all 5 atoms:
1 Rb 0.000 0.000 0.000
2 Pt 0.000 0.000 0.500
3 Au 0.000 0.500 0.000
4 Au 0.500 0.000 0.000
5 N 0.500 0.500 0.500

Output
Density of states at the Fermi level, states/eV per cell: 3.3
Mass density, g/cm3: 6.55
Uncorrected energy, eV per cell: -10.2

=====

[14]
The following is a DFT calculation (GGA-PBEsol) of a relaxed Sr2CdTe crystal.

Lattice parameters (Å, degrees): 5.671 5.671 5.671 60.00 60.00 60.00
Fractional coordinates of all 4 atoms:
1 Sr 0.250 0.250 0.250
2 Sr 0.750 0.750 0.750
3 Cd 0.000 0.000 0.000
4 Te 0.500 0.500 0.500

Output
Density of states at the Fermi level, states/eV per cell: 4.1
Mass density, g/cm3: 5.35
Uncorrected energy, eV per cell: -11.2
Energy above the most stable polymorph in this dataset, eV per atom: 0.187

=====

[15]
The following is a DFT calculation (GGA-PBEsol) of a relaxed AlCuNi crystal.

Lattice parameters (Å, degrees): 2.643 2.643 5.948 90.00 90.00 120.00
Fractional coordinates of all 3 atoms:
1 Al 0.000 0.000 0.000
2 Cu 0.333 0.667 0.653
3 Ni 0.667 0.333 0.318

Output
E_form, eV/atom: -0.14
Density of states at the Fermi level, states/eV per cell: 1.6
Mass density, g/cm3: 6.88
Uncorrected energy, eV per cell: -15.0
Energy above the most stable polymorph in this dataset, eV per atom: 0.230

=====

[16]
The following is a DFT calculation (GGA-PBEsol) of a relaxed Mg2ZrPb crystal.

Lattice parameters (Å, degrees): 5.052 5.052 5.052 60.00 60.00 60.00
Fractional coordinates of all 4 atoms:
1 Mg 0.000 0.000 0.000
2 Mg 0.250 0.250 0.250
3 Zr 0.750 0.750 0.750
4 Pb 0.500 0.500 0.500

Output
E_form, eV/atom: 0.15
Density of states at the Fermi level, states/eV per cell: 3.9
Mass density, g/cm3: 6.32
Uncorrected energy, eV per cell: -15.9

=====

[17]
The following is a DFT calculation (GGA-PBEsol) of a relaxed FeSbPdPb2 crystal.

Lattice parameters (Å, degrees): 4.928 4.928 4.772 90.00 90.00 90.00
Fractional coordinates of all 5 atoms:
1 Fe 0.000 0.000 0.000
2 Sb 0.000 0.000 0.500
3 Pd 0.500 0.500 0.500
4 Pb 0.000 0.500 0.000
5 Pb 0.500 0.000 0.000

Output
Density of states at the Fermi level, states/eV per cell: 3.8
Mass density, g/cm3: 10.01
Uncorrected energy, eV per cell: -25.3

=====

[18]
The following is a DFT calculation (GGA-PBEsol) of a relaxed Dy6FeBi2 crystal.

Lattice parameters (Å, degrees): 8.213 8.213 4.082 90.00 90.00 120.00
Fractional coordinates of all 9 atoms:
1 Dy 0.000 0.230 0.000
2 Dy 0.000 0.607 0.500
3 Dy 0.230 0.000 0.000
4 Dy 0.393 0.393 0.500
5 Dy 0.607 0.000 0.500
6 Dy 0.770 0.770 0.000
7 Fe 0.000 0.000 0.500
8 Bi 0.333 0.667 0.000
9 Bi 0.667 0.333 0.000

Output
E_form, eV/atom: -0.45
Density of states at the Fermi level, states/eV per cell: 7.3
Mass density, g/cm3: 10.09
Uncorrected energy, eV per cell: -51.4

=====

[19]
The following is a DFT calculation (GGA-PBEsol) of a relaxed Na2ZnS2 crystal.

Lattice parameters (Å, degrees): 7.029 7.029 7.029 126.20 75.71 131.02
Fractional coordinates of all 10 atoms:
1 Na 0.142 0.153 0.295
2 Na 0.358 0.653 0.011
3 Na 0.642 0.347 0.989
4 Na 0.858 0.847 0.705
5 Zn 0.250 0.750 0.500
6 Zn 0.750 0.250 0.500
7 S 0.112 0.713 0.825
8 S 0.388 0.213 0.601
9 S 0.612 0.787 0.399
10 S 0.888 0.287 0.175

Output
Density of states at the Fermi level, states/eV per cell: 0.0
Mass density, g/cm3: 2.83
Uncorrected energy, eV per cell: -36.1

=====

[20]
The following is a DFT calculation (GGA-PBEsol) of a relaxed Li2CuF4 crystal.

Lattice parameters (Å, degrees): 7.424 7.424 5.286 90.00 90.00 90.00
Fractional coordinates of all 28 atoms:
1 Li 0.071 0.571 0.250
2 Li 0.071 0.929 0.750
3 Li 0.429 0.571 0.750
4 Li 0.429 0.929 0.250
5 Li 0.571 0.071 0.750
6 Li 0.571 0.429 0.250
7 Li 0.929 0.071 0.250
8 Li 0.929 0.429 0.750
9 Cu 0.250 0.250 0.058
10 Cu 0.250 0.250 0.558
11 Cu 0.750 0.750 0.442
12 Cu 0.750 0.750 0.942
13 F 0.009 0.179 0.572
14 F 0.009 0.321 0.072
15 F 0.179 0.009 0.072
16 F 0.179 0.491 0.572
17 F 0.321 0.009 0.572
18 F 0.321 0.491 0.072
19 F 0.491 0.179 0.072
20 F 0.491 0.321 0.572
21 F 0.509 0.679 0.428
22 F 0.509 0.821 0.928
23 F 0.679 0.509 0.928
24 F 0.679 0.991 0.428
25 F 0.821 0.509 0.428
26 F 0.821 0.991 0.928
27 F 0.991 0.679 0.928
28 F 0.991 0.821 0.428

Output
Mass density, g/cm3: 3.50
Uncorrected energy, eV per cell: -127.6
Energy above the most stable polymorph in this dataset, eV per atom: 0.050